Entry from Alexandria: a PBEsol-optimized structure of AgRhOF2 (SCAN).

Geometry as CIF:
```
data_AgRhOF2
_cell_length_a 4.1580
_cell_length_b 4.1580
_cell_length_c 4.0081
_cell_angle_alpha 90.00
_cell_angle_beta 90.00
_cell_angle_gamma 90.00
_symmetry_space_group_name_H-M 'P 4/m m m'
_symmetry_Int_Tables_number 123
_symmetry_space_group_name_Hall '-P 4 2'
loop_
_atom_site_label
_atom_site_type_symbol
_atom_site_fract_x
_atom_site_fract_y
_atom_site_fract_z
Ag1 Ag 0.0000 0.0000 0.0000
Rh1 Rh 0.5000 0.5000 0.5000
O1 O 0.0000 0.0000 0.5000
F1 F 0.0000 0.5000 0.0000
```

Computed properties:
* size of the total moment: 0.51 μB/atom
* uncorrected formation energy: -0.104 eV per atom
* ρ: 6.3 g cm⁻³

---

Entry from Alexandria: a PBEsol-optimized structure of AlNiPt2 (SCAN).

Geometry as CIF:
```
data_AlNiPt2
_cell_length_a 3.9151
_cell_length_b 3.9151
_cell_length_c 6.9999
_cell_angle_alpha 90.00
_cell_angle_beta 90.00
_cell_angle_gamma 90.00
_symmetry_space_group_name_H-M 'I 4/m m m'
_symmetry_Int_Tables_number 139
_symmetry_space_group_name_Hall '-I 4 2'
loop_
_atom_site_label
_atom_site_type_symbol
_atom_site_fract_x
_atom_site_fract_y
_atom_site_fract_z
Al1 Al 0.0000 0.0000 0.0000
Ni1 Ni 0.0000 0.0000 0.5000
Pt1 Pt 0.0000 0.5000 0.2500
```

Computed properties:
* size of the total moment: 0.28 μB/atom
* ρ: 14.7 g cm⁻³
* electronic total energy: -41.865 eV/atom

---

Entry from Alexandria: a PBEsol-optimized structure of La3PI3 (SCAN).

Geometry as CIF:
```
data_La3PI3
_cell_length_a 12.3077
_cell_length_b 12.3077
_cell_length_c 12.3077
_cell_angle_alpha 90.00
_cell_angle_beta 90.00
_cell_angle_gamma 90.00
_symmetry_space_group_name_H-M 'I 41 3 2'
_symmetry_Int_Tables_number 214
_symmetry_space_group_name_Hall 'I 4bd 2c 3'
loop_
_atom_site_label
_atom_site_type_symbol
_atom_site_fract_x
_atom_site_fract_y
_atom_site_fract_z
La1 La 0.1085 0.3585 0.1250
P1 P 0.1250 0.1250 0.1250
I1 I 0.1138 0.1362 0.6250
```

Computed properties:
* size of the total moment: 0.00 μB/atom
* uncorrected formation energy: -1.651 eV per atom
* ρ: 5.9 g cm⁻³

---

Entry from Alexandria: a PBEsol-optimized structure of Y3Al3NiGe2 (SCAN).

Geometry as CIF:
```
data_Y3Al3NiGe2
_cell_length_a 6.8720
_cell_length_b 6.8720
_cell_length_c 4.1290
_cell_angle_alpha 90.00
_cell_angle_beta 90.00
_cell_angle_gamma 120.00
_symmetry_space_group_name_H-M 'P -6 2 m'
_symmetry_Int_Tables_number 189
_symmetry_space_group_name_Hall 'P -6 -2'
loop_
_atom_site_label
_atom_site_type_symbol
_atom_site_fract_x
_atom_site_fract_y
_atom_site_fract_z
Y1 Y 0.0000 0.4043 0.0000
Al1 Al 0.0000 0.7713 0.5000
Ni1 Ni 0.0000 0.0000 0.0000
Ge1 Ge 0.3333 0.6667 0.5000
```

Computed properties:
* size of the total moment: 0.07 μB/atom
* ρ: 5.4 g cm⁻³
* electronic total energy: -18.737 eV/atom

---

Entry from Alexandria: a PBEsol-optimized structure of YIn (SCAN).

Geometry as CIF:
```
data_YIn
_cell_length_a 11.9004
_cell_length_b 4.8703
_cell_length_c 6.3633
_cell_angle_alpha 90.00
_cell_angle_beta 121.90
_cell_angle_gamma 90.00
_symmetry_space_group_name_H-M 'C 1 m 1'
_symmetry_Int_Tables_number 8
loop_
_symmetry_equiv_pos_as_xyz
'x,y,z'
'x,-y,z'
'x+1/2,y+1/2,z'
'x+1/2,-y+1/2,z'
loop_
_atom_site_label
_atom_site_type_symbol
_atom_site_fract_x
_atom_site_fract_y
_atom_site_fract_z
Y1 Y 0.0000 0.0000 0.0000
Y2 Y 0.1532 0.5000 0.5121
Y3 Y 0.3458 0.0000 0.4921
In1 In 0.1886 0.5000 0.0520
In2 In 0.3107 0.0000 0.9521
In3 In 0.4989 0.5000 0.4987
```

Computed properties:
* size of the total moment: 0.00 μB/atom
* ρ: 6.5 g cm⁻³
* electronic total energy: -31.170 eV/atom

---

Entry from Alexandria: a PBEsol-optimized structure of NaMg6C (SCAN).

Geometry as CIF:
```
data_NaMg6C
_cell_length_a 3.2807
_cell_length_b 5.7944
_cell_length_c 20.3160
_cell_angle_alpha 90.00
_cell_angle_beta 90.00
_cell_angle_gamma 90.00
_symmetry_space_group_name_H-M 'A m m 2'
_symmetry_Int_Tables_number 38
loop_
_symmetry_equiv_pos_as_xyz
'x,y,z'
'-x,-y,z'
'-x,y,z'
'x,-y,z'
'x,y+1/2,z+1/2'
'-x,-y+1/2,z+1/2'
'-x,y+1/2,z+1/2'
'x,-y+1/2,z+1/2'
loop_
_atom_site_label
_atom_site_type_symbol
_atom_site_fract_x
_atom_site_fract_y
_atom_site_fract_z
Na1 Na 0.0000 0.0000 0.0000
Mg1 Mg 0.0000 0.2444 0.2500
Mg2 Mg 0.5000 0.0000 0.1387
Mg3 Mg 0.5000 0.0000 0.6287
Mg4 Mg 0.5000 0.2348 0.3708
C1 C 0.0000 0.0000 0.3374
```

Computed properties:
* size of the total moment: 0.02 μB/atom
* ρ: 1.6 g cm⁻³
* electronic total energy: -5.185 eV/atom

---

Entry from Alexandria: a PBEsol-optimized structure of Hf4Co4Ge7 (SCAN).

Geometry as CIF:
```
data_Hf4Co4Ge7
_cell_length_a 13.0193
_cell_length_b 13.0193
_cell_length_c 5.1325
_cell_angle_alpha 90.00
_cell_angle_beta 90.00
_cell_angle_gamma 90.00
_symmetry_space_group_name_H-M 'I 4/m m m'
_symmetry_Int_Tables_number 139
_symmetry_space_group_name_Hall '-I 4 2'
loop_
_atom_site_label
_atom_site_type_symbol
_atom_site_fract_x
_atom_site_fract_y
_atom_site_fract_z
Hf1 Hf 0.0000 0.1951 0.0000
Hf2 Hf 0.1389 0.1389 0.5000
Co1 Co 0.1489 0.3511 0.2500
Ge1 Ge 0.0000 0.0000 0.2510
Ge2 Ge 0.0000 0.2924 0.5000
Ge3 Ge 0.0000 0.4057 0.0000
Ge4 Ge 0.2070 0.2070 0.0000
```

Computed properties:
* size of the total moment: 0.00 μB/atom
* ρ: 11.1 g cm⁻³
* electronic total energy: -30.795 eV/atom

---

Entry from Alexandria: a PBEsol-optimized structure of Fe23O25 (SCAN).

Geometry as CIF:
```
data_Fe23O25
_cell_length_a 6.6674
_cell_length_b 6.6686
_cell_length_c 11.5634
_cell_angle_alpha 73.27
_cell_angle_beta 86.62
_cell_angle_gamma 72.54
_symmetry_space_group_name_H-M 'P -1'
_symmetry_Int_Tables_number 2
loop_
_symmetry_equiv_pos_as_xyz
'x,y,z'
'-x,-y,-z'
loop_
_atom_site_label
_atom_site_type_symbol
_atom_site_fract_x
_atom_site_fract_y
_atom_site_fract_z
Fe1 Fe 0.0000 0.0000 0.0000
Fe2 Fe 0.0058 0.6137 0.2038
Fe3 Fe 0.0078 0.1899 0.3923
Fe4 Fe 0.1794 0.1200 0.6465
Fe5 Fe 0.1880 0.7312 0.8354
Fe6 Fe 0.1964 0.5328 0.4327
Fe7 Fe 0.2056 0.3058 0.0452
Fe8 Fe 0.3932 0.2263 0.2795
Fe9 Fe 0.3956 0.8476 0.4730
Fe10 Fe 0.3967 0.6509 0.0852
Fe11 Fe 0.4116 0.4308 0.6840
Fe12 Fe 0.4177 0.0398 0.8760
O1 O 0.0964 0.2766 0.2167
O2 O 0.0992 0.8557 0.4294
O3 O 0.1016 0.6549 0.0202
O4 O 0.1047 0.4657 0.6179
O5 O 0.1117 0.0552 0.8260
O6 O 0.2938 0.3835 0.8609
O7 O 0.2988 0.1852 0.4627
O8 O 0.2995 0.9822 0.0518
O9 O 0.3055 0.7784 0.6581
O10 O 0.3058 0.5651 0.2608
O11 O 0.4826 0.1045 0.6955
O12 O 0.4957 0.6933 0.9014
O13 O 0.5000 0.5000 0.5000
```

Computed properties:
* size of the total moment: 2.00 μB/atom
* uncorrected formation energy: -1.381 eV per atom
* ρ: 6.0 g cm⁻³

---

Entry from Alexandria: a PBEsol-optimized structure of TaTl3Cd (SCAN).

Geometry as CIF:
```
data_TaTl3Cd
_cell_length_a 5.4352
_cell_length_b 5.4352
_cell_length_c 5.4352
_cell_angle_alpha 90.00
_cell_angle_beta 90.00
_cell_angle_gamma 90.00
_symmetry_space_group_name_H-M 'P m -3 m'
_symmetry_Int_Tables_number 221
_symmetry_space_group_name_Hall '-P 4 2 3'
loop_
_atom_site_label
_atom_site_type_symbol
_atom_site_fract_x
_atom_site_fract_y
_atom_site_fract_z
Ta1 Ta 0.0000 0.0000 0.0000
Tl1 Tl 0.0000 0.0000 0.5000
Cd1 Cd 0.5000 0.5000 0.5000
```

Computed properties:
* size of the total moment: 0.00 μB/atom
* ρ: 9.4 g cm⁻³
* electronic total energy: -62.109 eV/atom

---

Entry from Alexandria: a PBEsol-optimized structure of BaNaAs (SCAN).

Geometry as CIF:
```
data_BaNaAs
_cell_length_a 8.1089
_cell_length_b 4.7658
_cell_length_c 9.2053
_cell_angle_alpha 90.00
_cell_angle_beta 90.00
_cell_angle_gamma 90.00
_symmetry_space_group_name_H-M 'P n m a'
_symmetry_Int_Tables_number 62
loop_
_symmetry_equiv_pos_as_xyz
'x,y,z'
'-x,-y,-z'
'-x+1/2,-y,z+1/2'
'x+1/2,y,-z+1/2'
'x+1/2,-y+1/2,-z+1/2'
'-x+1/2,y+1/2,z+1/2'
'-x,y+1/2,-z'
'x,-y+1/2,z'
loop_
_atom_site_label
_atom_site_type_symbol
_atom_site_fract_x
_atom_site_fract_y
_atom_site_fract_z
Ba1 Ba 0.0336 0.2500 0.1849
Na1 Na 0.1367 0.2500 0.5621
As1 As 0.2420 0.7500 0.3837
```

Computed properties:
* size of the total moment: 0.00 μB/atom
* ρ: 4.4 g cm⁻³
* electronic total energy: -22.323 eV/atom

---

Entry from Alexandria: a PBEsol-optimized structure of Li4FeBiTe2O12 (SCAN).

Geometry as CIF:
```
data_Li4FeBiTe2O12
_cell_length_a 5.1519
_cell_length_b 5.4384
_cell_length_c 7.5202
_cell_angle_alpha 94.39
_cell_angle_beta 90.00
_cell_angle_gamma 90.26
_symmetry_space_group_name_H-M 'P 1'
_symmetry_Int_Tables_number 1
loop_
_symmetry_equiv_pos_as_xyz
'x,y,z'
loop_
_atom_site_label
_atom_site_type_symbol
_atom_site_fract_x
_atom_site_fract_y
_atom_site_fract_z
Li1 Li 0.0000 0.0000 0.0000
Li2 Li 0.0065 0.9837 0.5533
Li3 Li 0.4997 0.4487 0.0071
Li4 Li 0.5122 0.4521 0.5558
Fe1 Fe 0.0021 0.4153 0.8113
Bi1 Bi 0.5048 0.8955 0.3103
Te1 Te 0.0047 0.3946 0.3160
Te2 Te 0.5031 0.8951 0.8147
O1 O 0.1344 0.3806 0.0795
O2 O 0.1747 0.6988 0.4041
O3 O 0.1970 0.0726 0.7657
O4 O 0.3051 0.2151 0.4081
O5 O 0.3270 0.5773 0.7660
O6 O 0.3515 0.8726 0.0547
O7 O 0.6478 0.8562 0.5729
O8 O 0.6749 0.5388 0.2520
O9 O 0.7013 0.1863 0.8820
O10 O 0.7962 0.7011 0.8893
O11 O 0.8591 0.0642 0.2489
O12 O 0.8765 0.3612 0.5562
```

Computed properties:
* size of the total moment: 0.25 μB/atom
* uncorrected formation energy: -1.512 eV per atom
* ρ: 5.8 g cm⁻³

---

Entry from Alexandria: a PBEsol-optimized structure of Na2Ca4ZrNbSi4O17F (SCAN).

Geometry as CIF:
```
data_Na2Ca4ZrNbSi4O17F
_cell_length_a 7.3581
_cell_length_b 10.3610
_cell_length_c 10.8634
_cell_angle_alpha 90.00
_cell_angle_beta 109.20
_cell_angle_gamma 90.00
_symmetry_space_group_name_H-M 'P 1 21 1'
_symmetry_Int_Tables_number 4
loop_
_symmetry_equiv_pos_as_xyz
'x,y,z'
'-x,y+1/2,-z'
loop_
_atom_site_label
_atom_site_type_symbol
_atom_site_fract_x
_atom_site_fract_y
_atom_site_fract_z
Na1 Na 0.0809 0.0000 0.3748
Na2 Na 0.1893 0.1517 0.1386
Ca1 Ca 0.0451 0.3468 0.3445
Ca2 Ca 0.1948 0.7713 0.1493
Ca3 Ca 0.2974 0.6415 0.8665
Ca4 Ca 0.4511 0.8811 0.6509
Zr1 Zr 0.3097 0.2646 0.8503
Nb1 Nb 0.4076 0.5135 0.6144
Si1 Si 0.0466 0.6964 0.4264
Si2 Si 0.1324 0.4496 0.0674
Si3 Si 0.3010 0.9497 0.9299
Si4 Si 0.3825 0.1929 0.5776
O1 O 0.0125 0.6674 0.7499
O2 O 0.0210 0.2119 0.7328
O3 O 0.1076 0.9337 0.9749
O4 O 0.1498 0.1685 0.5370
O5 O 0.1500 0.8215 0.5054
O6 O 0.1637 0.3444 0.9607
O7 O 0.1675 0.5603 0.4759
O8 O 0.1743 0.5952 0.0325
O9 O 0.2363 0.4023 0.2147
O10 O 0.2643 0.9117 0.7808
O11 O 0.2933 0.4301 0.7291
O12 O 0.3756 0.0982 0.9672
O13 O 0.4041 0.3315 0.5120
O14 O 0.4370 0.8389 0.0265
O15 O 0.4537 0.0667 0.5166
O16 O 0.4674 0.6627 0.7099
O17 O 0.4763 0.1944 0.7358
F1 F 0.3162 0.9462 0.2753
```

Computed properties:
* size of the total moment: 0.00 μB/atom
* uncorrected formation energy: -3.152 eV per atom
* ρ: 3.4 g cm⁻³

---

The highest ρ belongs to which entry?
AlNiPt2